Entry 1:
Material: BaZnGe3
Method: DFT, GGA-PBE
State: relaxed

```
BaZnGe3
1.0
5.921 0.000 0.000
0.000 5.921 0.000
0.000 0.000 5.921
Ba Zn Ge
1 1 3
direct
0.000 0.000 0.000
0.500 0.500 0.500
0.000 0.000 0.500
0.000 0.500 0.000
0.500 0.000 0.000
```

## Properties
As for the formation energy: 6.9 eV per formula unit. As for the energy above the most stable polymorph in this dataset: 820.8 kJ/mol of formula units.

Entry 2:
Material: Ba3Zn2Ge4
Method: DFT, GGA-PBE
State: relaxed

```
Ba3Zn2Ge4
1.0
6.444 -2.183 0.000
6.444 2.183 0.000
-3.298 0.000 8.791
Ba Zn Ge
3 2 4
direct
0.000 0.000 0.000
0.392 0.392 0.323
0.608 0.608 0.677
0.312 0.312 0.683
0.688 0.688 0.317
0.136 0.136 0.414
0.284 0.284 0.948
0.716 0.716 0.052
0.864 0.864 0.586
```

## Properties
As for the formation energy: -4.1 eV per formula unit. As for the energy above the most stable polymorph in this dataset: 57.1 kJ/mol of formula units.

Entry 3:
Material: BaZnGe
Method: DFT, GGA-PBE
State: relaxed

```
BaZnGe
1.0
4.471 0.000 0.000
-2.236 3.872 0.000
0.000 0.000 9.807
Ba Zn Ge
2 2 2
direct
0.000 0.000 0.000
0.000 0.000 0.500
0.333 0.667 0.250
0.667 0.333 0.750
0.333 0.667 0.750
0.667 0.333 0.250
```

## Properties
As for the formation energy: -1.5 eV per formula unit.

Entry 4:
Material: BaZn3Ge3
Method: DFT, GGA-PBE
State: relaxed

```
BaZn3Ge3
1.0
3.254 1.879 8.599
-3.254 1.879 8.599
0.000 -3.758 8.599
Ba Zn Ge
2 6 6
direct
0.193 0.193 0.193
0.807 0.807 0.807
0.128 0.575 0.230
0.230 0.128 0.575
0.425 0.770 0.872
0.575 0.230 0.128
0.770 0.872 0.425
0.872 0.425 0.770
0.266 0.692 0.297
0.297 0.266 0.692
0.308 0.703 0.734
0.692 0.297 0.266
0.703 0.734 0.308
0.734 0.308 0.703
```

## Properties
As for the formation energy: -0.7 eV per formula unit. As for the energy above the most stable polymorph in this dataset: 5.8 kJ/mol of formula units.

Computed total magnetization (μB per atom) in order:
0.000 0.000 0.000 0.000